Record 1
Material: AlVGa
Method: DFT, GGA-PBE
State: relaxed

Summary:
E above lowest polymorph   136.3 meV per atom
Space-group type   No. 107

abc: 2.7038 2.7038 6.4404
angles: 102.12 102.12 90.00
Last column: nearest neighbours and their distance in Å.
Sites, in units of the cell vectors:
Ga (0.9571, 0.9571, 0.9143)  4 Ga 2.70, 4 V 2.76, 4 Al 2.95
Al (0.2740, 0.2740, 0.5481)  4 V 2.70, 4 Al 2.70, 4 Ga 2.95
V (0.6188, 0.6188, 0.2376)  4 Al 2.70, 4 V 2.70, 4 Ga 2.76

Record 2
Material: AlV3Ga
Method: DFT, GGA-PBE
State: relaxed

Summary:
E above lowest polymorph   186.8 meV per atom
Space-group type   No. 62

abc: 4.3475 7.8410 8.7791
angles: 90.00 90.00 90.00
Last column: nearest neighbours and their distance in Å.
Sites, in units of the cell vectors:
V (0.7500, 0.6516, 0.5544)  3 V 2.37-2.58
V (0.7500, 0.3484, 0.6677)  2 Ga 2.50-2.60, 3 V 2.58, 3 Al 2.62-2.73
V (0.2500, 0.1713, 0.6638)  4 V 2.37-2.58, 1 Ga 2.59
V (0.7500, 0.1516, 0.1677)  2 Ga 2.50-2.60, 3 V 2.58, 3 Al 2.62-2.73
V (0.7500, 0.8287, 0.3362)  4 V 2.37-2.58, 1 Ga 2.59
V (0.2500, 0.1516, 0.9456)  3 V 2.37-2.58
V (0.7500, 0.8484, 0.0544)  3 V 2.37-2.58
V (0.2500, 0.3287, 0.1638)  4 V 2.37-2.58, 1 Ga 2.59
V (0.2500, 0.6516, 0.3323)  2 Ga 2.50-2.60, 3 V 2.58, 3 Al 2.62-2.73
V (0.7500, 0.6713, 0.8362)  4 V 2.37-2.58, 1 Ga 2.59
V (0.2500, 0.8484, 0.8323)  2 Ga 2.50-2.60, 3 V 2.58, 3 Al 2.62-2.73
V (0.2500, 0.3484, 0.4456)  3 V 2.37-2.58
Ga (0.2500, 0.8730, 0.5372)  5 V 2.50-2.79
Ga (0.7500, 0.3730, 0.9628)  5 V 2.50-2.79
Ga (0.7500, 0.1270, 0.4628)  5 V 2.50-2.79
Ga (0.2500, 0.6270, 0.0372)  5 V 2.50-2.79
Al (0.7500, 0.0291, 0.7915)  9 V 2.62-2.83
Al (0.2500, 0.9709, 0.2085)  9 V 2.62-2.83
Al (0.2500, 0.5291, 0.7085)  9 V 2.62-2.83
Al (0.7500, 0.4709, 0.2915)  9 V 2.62-2.83

Record 3
Material: AlV2Ga4
Method: DFT, GGA-PBE
State: relaxed

Summary:
Space-group type   No. 1

abc: 5.3905 7.4404 8.7270
angles: 131.50 119.37 65.63
Last column: nearest neighbours and their distance in Å.
Sites, in units of the cell vectors:
Ga (0.7778, 0.1179, 0.9369)  2 V 2.56-2.69, 4 Ga 2.64-2.77
Ga (0.9163, 0.0985, 0.5238)  3 V 2.57-2.68, 4 Ga 2.65-2.87, 2 Al 2.77-2.85
Ga (0.2251, 0.1243, 0.8840)  5 Ga 2.49-2.77, 3 V 2.63-2.76
Ga (0.4855, 0.9783, 0.5352)  3 V 2.63-2.69, 3 Ga 2.64-2.87, 1 Al 2.87
Ga (0.3136, 0.7002, 0.7682)  2 Ga 2.49-2.72, 3 V 2.59-2.76, 1 Al 2.75
Ga (0.5060, 0.2347, 0.2743)  2 V 2.56-2.60, 3 Ga 2.61-2.75, 2 Al 2.72-2.74
Ga (0.7558, 0.6342, 0.6608)  6 Ga 2.71-2.99, 1 Al 2.77, 1 V 2.82
Ga (0.0157, 0.8033, 0.1145)  4 V 2.57-2.80, 2 Al 2.74-2.86
V (0.7486, 0.4372, 0.8763)  2 V 2.46-2.54, 5 Ga 2.57-2.69
V (0.5349, 0.5109, 0.2076)  2 V 2.45-2.57, 3 Ga 2.56-2.67, 1 Al 2.73
V (0.2706, 0.4145, 0.8277)  3 V 2.46-2.75, 5 Ga 2.59-2.69
V (0.5496, 0.8127, 0.1797)  2 V 2.45-2.54, 4 Ga 2.57-2.67, 1 Al 2.67
Al (0.0591, 0.6023, 0.3161)  4 V 2.67-2.86, 3 Ga 2.74-2.86, 1 Al 2.82
Al (0.0915, 0.2810, 0.3950)  8 Ga 2.72-2.99, 1 Al 2.82, 2 V 2.90-3.04

Record 4
Material: Al6V12Ga
Method: DFT, GGA-PBE
State: relaxed

Summary:
Space-group type   No. 148

abc: 6.4759 6.4759 6.4759
angles: 90.17 90.17 90.17
Last column: nearest neighbours and their distance in Å.
Sites, in units of the cell vectors:
V (0.9390, 0.8469, 0.6213)  4 V 2.60-2.65, 5 Al 2.63-2.87, 1 Ga 2.67
V (0.4321, 0.7990, 0.5199)  4 V 2.57-2.76, 4 Al 2.59-2.70
V (0.6213, 0.9390, 0.8469)  4 V 2.60-2.65, 5 Al 2.63-2.87, 1 Ga 2.67
V (0.0610, 0.1531, 0.3787)  4 V 2.60-2.65, 5 Al 2.63-2.87, 1 Ga 2.67
V (0.2010, 0.4801, 0.5679)  4 V 2.57-2.76, 4 Al 2.59-2.70
V (0.7990, 0.5199, 0.4321)  4 V 2.57-2.76, 4 Al 2.59-2.70
V (0.5679, 0.2010, 0.4801)  4 V 2.57-2.76, 4 Al 2.59-2.70
V (0.3787, 0.0610, 0.1531)  4 V 2.60-2.65, 5 Al 2.63-2.87, 1 Ga 2.67
V (0.4801, 0.5679, 0.2010)  4 V 2.57-2.76, 4 Al 2.59-2.70
V (0.1531, 0.3787, 0.0610)  4 V 2.60-2.65, 5 Al 2.63-2.87, 1 Ga 2.67
V (0.8469, 0.6213, 0.9390)  4 V 2.60-2.65, 5 Al 2.63-2.87, 1 Ga 2.67
V (0.5199, 0.4321, 0.7990)  4 V 2.57-2.76, 4 Al 2.59-2.70
Al (0.7366, 0.2729, 0.1168)  1 Ga 2.57, 9 V 2.59-2.87, 2 Al 2.70
Al (0.2729, 0.1168, 0.7366)  1 Ga 2.57, 9 V 2.59-2.87, 2 Al 2.70
Al (0.7271, 0.8832, 0.2634)  1 Ga 2.57, 9 V 2.59-2.87, 2 Al 2.70
Al (0.1168, 0.7366, 0.2729)  1 Ga 2.57, 9 V 2.59-2.87, 2 Al 2.70
Al (0.2634, 0.7271, 0.8832)  1 Ga 2.57, 9 V 2.59-2.87, 2 Al 2.70
Al (0.8832, 0.2634, 0.7271)  1 Ga 2.57, 9 V 2.59-2.87, 2 Al 2.70
Ga (0.0000, 0.0000, 0.0000)  6 Al 2.57, 6 V 2.67

Record 5
Material: AlVGa3
Method: DFT, GGA-PBE
State: relaxed

Summary:
E above lowest polymorph   776.5 meV per atom
Space-group type   No. 221

abc: 4.8448 4.8448 4.8448
angles: 90.00 90.00 90.00
Last column: nearest neighbours and their distance in Å.
Sites, in units of the cell vectors:
Ga (0.0000, 0.0000, 0.5000)  2 Al 2.42
Ga (0.5000, 0.0000, 0.0000)  2 Al 2.42
Ga (0.0000, 0.5000, 0.0000)  2 Al 2.42
Al (0.0000, 0.0000, 0.0000)  6 Ga 2.42
V (0.5000, 0.5000, 0.5000)  12 Ga 3.43

Record 6
Material: AlVGa3
Method: DFT, GGA-PBE
State: relaxed

Summary:
E above lowest polymorph   0.0 meV per atom
Space-group type   No. 64

abc: 6.4715 7.3090 7.3090
angles: 110.73 90.00 90.00
Last column: nearest neighbours and their distance in Å.
Sites, in units of the cell vectors:
Ga (0.0847, 0.0573, 0.7684)  2 Al 2.55-2.67, 4 Ga 2.58-2.77, 1 V 2.79
Ga (0.4154, 0.5573, 0.2684)  2 Al 2.55-2.67, 4 Ga 2.58-2.77, 1 V 2.79
Ga (0.8115, 0.4594, 0.0404)  1 V 2.52, 3 Ga 2.63-2.66
Ga (0.0846, 0.7316, 0.4427)  2 Al 2.55-2.67, 4 Ga 2.58-2.77, 1 V 2.79
Ga (0.1885, 0.5406, 0.9596)  1 V 2.52, 3 Ga 2.63-2.66
Ga (0.3115, 0.0404, 0.4594)  1 V 2.52, 3 Ga 2.63-2.66
Ga (0.5846, 0.4427, 0.7316)  2 Al 2.55-2.67, 4 Ga 2.58-2.77, 1 V 2.79
Ga (0.4153, 0.2316, 0.9427)  2 Al 2.55-2.67, 4 Ga 2.58-2.77, 1 V 2.79
Ga (0.9153, 0.9427, 0.2316)  2 Al 2.55-2.67, 4 Ga 2.58-2.77, 1 V 2.79
Ga (0.6885, 0.9596, 0.5406)  1 V 2.52, 3 Ga 2.63-2.66
Ga (0.9154, 0.2684, 0.5573)  2 Al 2.55-2.67, 4 Ga 2.58-2.77, 1 V 2.79
Ga (0.5847, 0.7684, 0.0573)  2 Al 2.55-2.67, 4 Ga 2.58-2.77, 1 V 2.79
Al (0.7500, 0.0496, 0.9504)  6 Ga 2.55-2.86, 4 V 2.69-2.85
Al (0.2500, 0.4503, 0.5497)  6 Ga 2.55-2.86, 4 V 2.69-2.85
Al (0.2500, 0.9504, 0.0496)  6 Ga 2.55-2.86, 4 V 2.69-2.85
Al (0.7500, 0.5497, 0.4503)  6 Ga 2.55-2.86, 4 V 2.69-2.85
V (0.9477, 0.7056, 0.7943)  3 Ga 2.52-2.79, 2 Al 2.69
V (0.0523, 0.2944, 0.2057)  3 Ga 2.52-2.79, 2 Al 2.69
V (0.4477, 0.7943, 0.7056)  3 Ga 2.52-2.79, 2 Al 2.69
V (0.5523, 0.2057, 0.2944)  3 Ga 2.52-2.79, 2 Al 2.69

Record 7
Material: Al3V7Ga
Method: DFT, GGA-PBE
State: relaxed

Summary:
Space-group type   No. 63

abc: 2.5764 9.0566 14.1565
angles: 90.00 90.00 98.18
Last column: nearest neighbours and their distance in Å.
Sites, in units of the cell vectors:
V (0.2570, 0.5141, 0.4171)  5 V 2.42-2.69, 3 Al 2.65-2.70
V (0.6230, 0.2459, 0.8395)  5 V 2.42-2.58, 2 Al 2.69
V (0.4982, 0.9964, 0.0848)  4 V 2.40-2.58, 2 Ga 2.67
V (0.6238, 0.2475, 0.2500)  1 Al 2.55, 2 V 2.58, 2 Ga 2.68
V (0.3770, 0.7541, 0.3395)  5 V 2.42-2.58, 2 Al 2.69
V (0.5018, 0.0036, 0.5848)  4 V 2.40-2.58, 2 Ga 2.67
V (0.3770, 0.7541, 0.1605)  5 V 2.42-2.58, 2 Al 2.69
V (0.7430, 0.4859, 0.9171)  5 V 2.42-2.69, 3 Al 2.65-2.70
V (0.2570, 0.5141, 0.0829)  5 V 2.42-2.69, 3 Al 2.65-2.70
V (0.7430, 0.4859, 0.5829)  5 V 2.42-2.69, 3 Al 2.65-2.70
V (0.3762, 0.7525, 0.7500)  1 Al 2.55, 2 V 2.58, 2 Ga 2.68
V (0.6230, 0.2459, 0.6605)  5 V 2.42-2.58, 2 Al 2.69
V (0.5018, 0.0036, 0.9152)  4 V 2.40-2.58, 2 Ga 2.67
V (0.4982, 0.9964, 0.4152)  4 V 2.40-2.58, 2 Ga 2.67
Al (0.8791, 0.7582, 0.5110)  2 Al 2.58, 9 V 2.65-2.87
Al (0.7658, 0.5315, 0.2500)  9 V 2.55-2.70, 2 Al 2.58
Al (0.8791, 0.7582, 0.9890)  2 Al 2.58, 9 V 2.65-2.87
Al (0.2342, 0.4685, 0.7500)  9 V 2.55-2.70, 2 Al 2.58
Al (0.1209, 0.2418, 0.4890)  2 Al 2.58, 9 V 2.65-2.87
Al (0.1209, 0.2418, 0.0110)  2 Al 2.58, 9 V 2.65-2.87
Ga (0.0073, 0.0146, 0.7500)  2 Ga 2.58, 10 V 2.67-2.75
Ga (0.9927, 0.9854, 0.2500)  2 Ga 2.58, 10 V 2.67-2.75

Record 8
Material: AlV2Ga2
Method: DFT, GGA-PBE
State: relaxed

Summary:
E above lowest polymorph   114.9 meV per atom
Space-group type   No. 127

abc: 6.6062 6.6062 3.5663
angles: 90.00 90.00 90.00
Last column: nearest neighbours and their distance in Å.
Sites, in units of the cell vectors:
Ga (0.8304, 0.3304, 0.5000)  6 V 2.60-2.67
Ga (0.3304, 0.1696, 0.5000)  6 V 2.60-2.67
Ga (0.1696, 0.6696, 0.5000)  6 V 2.60-2.67
Ga (0.6696, 0.8304, 0.5000)  6 V 2.60-2.67
V (0.1285, 0.3715, 0.0000)  1 V 2.40, 6 Ga 2.60-2.67, 2 Al 2.60
V (0.6285, 0.1285, 0.0000)  1 V 2.40, 6 Ga 2.60-2.67, 2 Al 2.60
V (0.3715, 0.8715, 0.0000)  1 V 2.40, 6 Ga 2.60-2.67, 2 Al 2.60
V (0.8715, 0.6285, 0.0000)  1 V 2.40, 6 Ga 2.60-2.67, 2 Al 2.60
Al (0.0000, 0.0000, 0.0000)  4 V 2.60
Al (0.5000, 0.5000, 0.0000)  4 V 2.60

E_form / meV/atom: -57; 11; -69; -60; 805; 28; 106; -15
Total magnetic moment / μB/cell: 0.00; 0.00; 0.00; 0.00; 3.48; 3.42; 0.00; 0.00
Raw total energy / eV/atom: -5.353; -6.814; -4.939; -7.160; -3.583; -4.360; -6.993; -5.621